MgSc2P: optimized geometry, PBE.

a = 3.5069 Å, b = 3.5096 Å, c = 6.2361 Å
α = 90.00°, β = 90.67°, γ = 90.00°
With the nearest neighbours (Å) after each atom.
Space group P2/m (No. 10)
Inequivalent atoms, fractional coordinates:
Mg1 0.0000 0.0000 0.0000 x1  8 Sc 3.02-3.03, 2 P 3.12
Sc1 0.4929 0.5000 0.7229 x2  1 Sc 2.78, 4 P 2.82-2.87, 4 Mg 3.02-3.03
P1 0.0000 0.0000 0.5000 x1  8 Sc 2.82-2.87, 2 Mg 3.12

Output
formation energy from the elements	-0.59	eV per atom
energy	-5.509	eV per atom
total moment	0.03	Bohr magnetons per cell